The following is a DFT calculation (PBE) of Na2IF after structural relaxation.

Unit cell a=3.6624 b=3.6624 c=7.0730 alpha=90.00 beta=90.00 gamma=90.00
Space group P4/mmm (No. 123)
Unique sites:
Na1 0.0000 0.0000 0.2164 (multiplicity 2)
I1 0.5000 0.5000 0.5000 (multiplicity 1)
F1 0.5000 0.5000 0.0000 (multiplicity 1)

Calculated values
The calculation puts the polymorph energy (0 for the lowest one) at 1.63 eV/f.u.